VASP calculation (PBE) on a geometry-optimized BaPb2Au structure.

Computed properties:
Density of states at the Fermi level, states/eV/f.u.: 3.33
Formation energy, eV/atom: -0.28
Calculated volume, Å³/atom: 31.0

Cell: 4.874 4.874 5.226 Å, 90.00 90.00 90.25°
Positions (direct):
Ba (0.000, 0.000, 0.000)
Pb (0.000, 0.500, 0.500)
Pb (0.500, 0.000, 0.500)
Au (0.500, 0.500, 0.000)

VASP calculation (PBE) on a geometry-optimized Ba3Pb9Au2 structure.

Computed properties:
Density of states at the Fermi level, states/eV/f.u.: 5.61
Formation energy, eV/atom: -0.32
Calculated volume, Å³/atom: 33.2

Cell: 9.833 9.833 9.833 Å, 148.92 104.41 83.95°
Positions (direct):
Ba (0.000, 0.000, 0.000)
Ba (0.301, 0.301, 0.000)
Ba (0.699, 0.699, 0.000)
Pb (0.019, 0.374, 0.646)
Pb (0.137, 0.848, 0.289)
Pb (0.272, 0.626, 0.646)
Pb (0.441, 0.152, 0.289)
Pb (0.500, 0.000, 0.500)
Pb (0.559, 0.848, 0.711)
Pb (0.728, 0.374, 0.354)
Pb (0.863, 0.152, 0.711)
Pb (0.981, 0.626, 0.354)
Au (0.347, 0.500, 0.847)
Au (0.653, 0.500, 0.153)

VASP calculation (PBE) on a geometry-optimized Ba7Pb2Au2 structure.

Computed properties:
Density of states at the Fermi level, states/eV/f.u.: 10.52
Formation energy, eV/atom: -0.42
Calculated volume, Å³/atom: 45.6

Cell: 7.993 7.993 8.250 Å, 90.00 90.00 108.06°
Positions (direct):
Ba (0.000, 0.000, 0.000)
Ba (0.000, 0.500, 0.262)
Ba (0.000, 0.500, 0.738)
Ba (0.500, 0.000, 0.262)
Ba (0.500, 0.000, 0.738)
Ba (0.500, 0.500, 0.251)
Ba (0.500, 0.500, 0.749)
Pb (0.168, 0.168, 0.500)
Pb (0.832, 0.832, 0.500)
Au (0.293, 0.707, 0.000)
Au (0.707, 0.293, 0.000)

VASP calculation (PBE) on a geometry-optimized BaPb2Au structure.

Computed properties:
Density of states at the Fermi level, states/eV/f.u.: 2.11
Formation energy, eV/atom: -0.27
Calculated volume, Å³/atom: 34.7

Cell: 11.655 11.655 11.655 Å, 155.24 155.24 35.30°
Positions (direct):
Ba (0.000, 0.000, 0.000)
Ba (0.750, 0.250, 0.500)
Pb (0.198, 0.625, 0.073)
Pb (0.375, 0.448, 0.573)
Pb (0.552, 0.125, 0.927)
Pb (0.875, 0.802, 0.427)
Au (0.250, 0.750, 0.500)
Au (0.500, 0.500, 0.000)